# Be3VF, optimized geometry, DFT PBE with a Hubbard U
data_Be3VF
_chemical_formula_sum 'Be3 V1 F1'
_space_group_name_H-M_alt 'P m -3 m'
_space_group_IT_number 221
_space_group_name_Hall '-P 4 2 3'
_cell_length_a 3.7617
_cell_length_b 3.7617
_cell_length_c 3.7617
_cell_angle_alpha 90.00
_cell_angle_beta 90.00
_cell_angle_gamma 90.00
loop_
_atom_site_label
_atom_site_type_symbol
_atom_site_fract_x
_atom_site_fract_y
_atom_site_fract_z
Be1 Be 0.0000 0.0000 0.5000
V1 V 0.5000 0.5000 0.5000
F1 F 0.0000 0.0000 0.0000
# total magnetization = 0.400 μB/atom
# DOS(E_F) = 0.303 states/eV/atom
# total DFT energy (no corrections) = -19.45 eV per cell